(1)
## LaAl2ZnPd (GGA-PBE)

Data for a relaxed LaAl2ZnPd crystal.

Geometry as CIF:
```
data_LaAl2ZnPd
_chemical_formula_sum 'La2 Al4 Zn2 Pd2'
_cell_length_a 4.3259
_cell_length_b 4.3939
_cell_length_c 10.7567
_cell_angle_alpha 90.00
_cell_angle_beta 90.00
_cell_angle_gamma 90.00
_space_group_name_H-M_alt 'I m m 2'
_space_group_IT_number 44
_space_group_name_Hall 'I 2 -2'
loop_
_atom_site_label
_atom_site_fract_x
_atom_site_fract_y
_atom_site_fract_z
La1 0.0000 0.0000 0.0000
Al1 0.0000 0.0000 0.3944
Al2 0.0000 0.5000 0.2487
Zn1 0.0000 0.5000 0.7555
Pd1 0.0000 0.0000 0.6250
```

D(E_F) = 3.2 states/eV/f.u.
total magnetic moment = 0.00 μB per formula unit
crystal system = orthorhombic
formation energy = -0.604 eV/atom

***

(2)
## LaAlZnPd3 (GGA-PBE)

Data for a relaxed LaAlZnPd3 crystal.

Geometry as CIF:
```
data_LaAlZnPd3
_chemical_formula_sum 'La4 Al4 Zn4 Pd12'
_cell_length_a 6.5909
_cell_length_b 12.6086
_cell_length_c 5.7332
_cell_angle_alpha 90.00
_cell_angle_beta 90.00
_cell_angle_gamma 90.00
_space_group_name_H-M_alt 'C m c m'
_space_group_IT_number 63
_space_group_name_Hall '-C 2c 2'
loop_
_atom_site_label
_atom_site_fract_x
_atom_site_fract_y
_atom_site_fract_z
La1 0.0000 0.2077 0.2500
Al1 0.0000 0.4615 0.2500
Zn1 0.0000 0.1356 0.7500
Pd1 0.0000 0.3375 0.7500
Pd2 0.2075 0.0000 0.0000
```

D(E_F) = 3.7 states/eV/f.u.
total magnetic moment = 0.00 μB per formula unit
crystal system = orthorhombic
formation energy = -0.595 eV/atom

***

(3)
## LaAl4ZnPd2 (GGA-PBE)

Data for a relaxed LaAl4ZnPd2 crystal.

Geometry as CIF:
```
data_LaAl4ZnPd2
_chemical_formula_sum 'La3 Al12 Zn3 Pd6'
_cell_length_a 4.3144
_cell_length_b 4.3144
_cell_length_c 27.5175
_cell_angle_alpha 90.00
_cell_angle_beta 90.00
_cell_angle_gamma 120.00
_space_group_name_H-M_alt 'R -3 m'
_space_group_IT_number 166
_space_group_name_Hall '-R 3 2"'
loop_
_atom_site_label
_atom_site_fract_x
_atom_site_fract_y
_atom_site_fract_z
La1 0.0000 0.0000 0.0000
Al1 0.0000 0.0000 0.1274
Al2 0.0000 0.0000 0.4052
Zn1 0.0000 0.0000 0.5000
Pd1 0.0000 0.0000 0.2315
```

D(E_F) = 3.5 states/eV/f.u.
total magnetic moment = 0.00 μB per formula unit
crystal system = trigonal
formation energy = -0.563 eV/atom

***

(4)
## LaAlZnPd (GGA-PBE)

Data for a relaxed LaAlZnPd crystal.

Geometry as CIF:
```
data_LaAlZnPd
_chemical_formula_sum 'La3 Al3 Zn3 Pd3'
_cell_length_a 4.3316
_cell_length_b 4.3316
_cell_length_c 16.1223
_cell_angle_alpha 90.00
_cell_angle_beta 90.00
_cell_angle_gamma 120.00
_space_group_name_H-M_alt 'R 3 m'
_space_group_IT_number 160
_space_group_name_Hall 'R 3 -2"'
loop_
_atom_site_label
_atom_site_fract_x
_atom_site_fract_y
_atom_site_fract_z
La1 0.0000 0.0000 0.0000
Al1 0.0000 0.0000 0.2040
Zn1 0.0000 0.0000 0.7937
Pd1 0.0000 0.0000 0.5069
```

D(E_F) = 4.9 states/eV/f.u.
total magnetic moment = 0.00 μB per formula unit
crystal system = trigonal
formation energy = -0.573 eV/atom

***

(5)
## La3AlZn2Pd6 (GGA-PBE)

Data for a relaxed La3AlZn2Pd6 crystal.

Geometry as CIF:
```
data_La3AlZn2Pd6
_chemical_formula_sum 'La3 Al1 Zn2 Pd6'
_cell_length_a 5.7572
_cell_length_b 5.7572
_cell_length_c 8.7566
_cell_angle_alpha 90.00
_cell_angle_beta 90.00
_cell_angle_gamma 120.00
_space_group_name_H-M_alt 'P -3 m 1'
_space_group_IT_number 164
_space_group_name_Hall '-P 3 2"'
loop_
_atom_site_label
_atom_site_fract_x
_atom_site_fract_y
_atom_site_fract_z
La1 0.0000 0.0000 0.0000
La2 0.3333 0.6667 0.6266
Al1 0.0000 0.0000 0.5000
Zn1 0.3333 0.6667 0.0271
Pd1 0.1722 0.3445 0.2819
```

D(E_F) = 5.3 states/eV/f.u.
total magnetic moment = 0.00 μB per formula unit
crystal system = trigonal
formation energy = -0.711 eV/atom

***

(6)
## LaAlZn2Pd4 (GGA-PBE)

Data for a relaxed LaAlZn2Pd4 crystal.

Geometry as CIF:
```
data_LaAlZn2Pd4
_chemical_formula_sum 'La3 Al3 Zn6 Pd12'
_cell_length_a 4.3384
_cell_length_b 4.3384
_cell_length_c 26.0977
_cell_angle_alpha 90.00
_cell_angle_beta 90.00
_cell_angle_gamma 120.00
_space_group_name_H-M_alt 'R -3 m'
_space_group_IT_number 166
_space_group_name_Hall '-R 3 2"'
loop_
_atom_site_label
_atom_site_fract_x
_atom_site_fract_y
_atom_site_fract_z
La1 0.0000 0.0000 0.0000
Al1 0.0000 0.0000 0.5000
Zn1 0.0000 0.0000 0.2385
Pd1 0.0000 0.0000 0.1339
Pd2 0.0000 0.0000 0.4038
```

D(E_F) = 4.2 states/eV/f.u.
total magnetic moment = 0.00 μB per formula unit
crystal system = trigonal
formation energy = -0.700 eV/atom

***

Among the records above, which one has the lowest D(E_F)? LaAl2ZnPd